1.
CsNp3O9 | PBE-GGA | relaxed

Cell lengths 4.160, 8.028, 8.028 Å; angles 120.00, 90.00, 90.00 degrees
Each line ends with the local moment (μB).
Atoms (fractional coordinates):
Np 0.500 0.000 0.500  1.57
Np 0.500 0.500 0.000  1.57
O 0.500 0.207 0.414  -0.08
Np 0.500 0.500 0.500  1.57
O 0.500 0.793 0.586  -0.08
O 0.500 0.586 0.793  -0.08
O 0.500 0.207 0.793  -0.08
Cs 0.000 0.000 0.000  0.00
O 0.000 0.500 0.500  -0.09
O 0.000 0.000 0.500  -0.09
O 0.000 0.500 0.000  -0.09
O 0.500 0.793 0.207  -0.08
O 0.500 0.414 0.207  -0.08

Results
Raw formation energy   -2.771 eV per atom
DFT total energy   -9.256 eV/atom


2.
KTlHF | PBE-GGA | relaxed

Cell lengths 4.784, 4.784, 4.784 Å; angles 60.00, 60.00, 60.00 degrees
Atoms (fractional coordinates):
K 0.500 0.500 0.500
Tl 0.000 0.000 0.000
F 0.250 0.250 0.250
H 0.750 0.750 0.750

Results
DFT total energy   -3.132 eV/atom


3.
Sb2AuIO | PBE-GGA | relaxed

Cell lengths 5.405, 5.405, 5.491 Å; angles 90.00, 90.00, 90.00 degrees
Atoms (fractional coordinates):
O 0.500 0.500 0.500
Sb 0.500 0.000 0.000
Au 0.000 0.000 0.000
I 0.000 0.000 0.500
Sb 0.000 0.500 0.000

Results
Raw formation energy   1.021 eV per atom
DFT total energy   -2.585 eV/atom


4.
Mn2AlCr | PBE-GGA | relaxed

Cell lengths 4.719, 4.719, 4.719 Å; angles 144.45, 129.87, 62.96 degrees
Atoms (fractional coordinates):
Mn 0.003 0.003 0.000
Cr 0.237 0.737 0.500
Mn 0.760 0.260 0.500
Al 0.501 0.501 0.000

Results
Formation enthalpy at 0 K   -0.5 eV per formula unit
DFT total energy   -8.059 eV/atom


5.
La5Y12Tm2 | PBE-GGA | relaxed

Cell lengths 7.200, 14.971, 16.296 Å; angles 154.04, 90.00, 103.91 degrees
Atoms (fractional coordinates):
La 0.496 0.991 0.590
Tm 0.751 0.000 0.000
Y 0.962 0.925 0.117
Y 0.956 0.403 0.613
La 0.250 0.499 0.499
Y 0.022 0.563 0.954
Y 0.978 0.437 0.046
Y 0.038 0.075 0.883
Y 0.538 0.077 0.882
Y 0.553 0.597 0.387
La 0.504 0.009 0.410
Y 0.541 0.563 0.954
Y 0.044 0.597 0.387
Y 0.459 0.437 0.046
Y 0.447 0.403 0.613
Y 0.462 0.923 0.118
La 0.000 0.000 0.500
La 0.750 0.501 0.501
Tm 0.249 0.000 0.000

Results
Formation enthalpy at 0 K   2.0 eV per formula unit
DFT total energy   -5.744 eV/atom


6.
BaCa3Au2 | PBE-GGA | relaxed

Cell lengths 4.531, 9.867, 10.595 Å; angles 117.44, 90.00, 103.27 degrees
Atoms (fractional coordinates):
Ca 0.652 0.303 0.515
Au 0.788 0.576 0.249
Ca 0.323 0.646 0.098
Au 0.212 0.424 0.751
Ca 0.968 0.936 0.316
Ba 0.122 0.244 0.149
Ca 0.032 0.064 0.684
Ca 0.348 0.697 0.485
Au 0.494 0.989 0.159
Au 0.506 0.011 0.841
Ca 0.677 0.354 0.902
Ba 0.878 0.756 0.851

Results
Formation enthalpy at 0 K   -3.2 eV per formula unit
DFT total energy   -2.948 eV/atom


7.
YNp2Co9 | PBE-GGA | relaxed

Cell lengths 4.872, 4.872, 8.629 Å; angles 73.60, 73.60, 60.00 degrees
Each line ends with the local moment (μB).
Atoms (fractional coordinates):
Np 0.141 0.141 0.578  3.61
Np 0.859 0.859 0.422  3.61
Co 0.582 0.582 0.754  -1.17
Co 0.667 0.667 0.999  -1.41
Co 0.582 0.083 0.754  -1.17
Co 0.333 0.333 0.001  -1.41
Co 0.500 0.500 0.500  -0.86
Y 0.000 0.000 0.000  0.21
Co 0.418 0.418 0.246  -1.17
Co 0.083 0.582 0.754  -1.17
Co 0.917 0.418 0.246  -1.17
Co 0.418 0.917 0.246  -1.17

Results
Formation enthalpy at 0 K   -1.3 eV per formula unit
DFT total energy   -8.131 eV/atom


8.
Na2PrIO6 | PBE-GGA | relaxed

Cell lengths 5.739, 5.891, 8.216 Å; angles 90.00, 90.09, 90.00 degrees
Atoms (fractional coordinates):
I 0.500 0.000 0.500
Na 0.991 0.038 0.745
O 0.669 0.266 0.560
Pr 0.000 0.500 0.500
O 0.169 0.234 0.060
O 0.098 0.458 0.780
O 0.231 0.178 0.456
O 0.269 0.678 0.044
O 0.598 0.042 0.280
O 0.731 0.322 0.956
O 0.769 0.822 0.544
O 0.831 0.766 0.940
O 0.331 0.734 0.440
I 0.000 0.500 0.000
Na 0.491 0.462 0.245
O 0.402 0.958 0.720
Pr 0.500 0.000 0.000
O 0.902 0.542 0.220
Na 0.009 0.962 0.255
Na 0.509 0.538 0.755

Results
Raw formation energy   -1.603 eV per atom
DFT total energy   -5.474 eV/atom


| no. | M_tot (Bohr magnetons per cell) |
| --- | --- |
| 1 | 4.0 |
| 2 | 0.0 |
| 3 | 0.0 |
| 4 | 0.0 |
| 5 | 0.0 |
| 6 | 0.0 |
| 7 | 2.6 |
| 8 | 0.0 |